{
  "formula": "KNiB2Cl",
  "functional": "PBE",
  "state": "relaxed",
  "raw_formation_energy_ev_per_atom": 0.304,
  "volume_a3_per_fu": 108,
  "cell": [[3.905, 0.000, 0.000], [0.000, 3.905, 0.000], [0.000, 0.000, 7.053]],
  "species": ["K", "Ni", "B", "B", "Cl"],
  "frac_coords": [[0.000, 0.000, 0.000], [0.000, 0.000, 0.500], [0.000, 0.500, 0.500], [0.500, 0.000, 0.500], [0.500, 0.500, 0.000]]
}

=====

{
  "formula": "KBP2Cl",
  "functional": "PBE",
  "state": "relaxed",
  "raw_formation_energy_ev_per_atom": 0.098,
  "volume_a3_per_fu": 135,
  "de_polymorph_mev_per_atom": 0,
  "cell": [[4.019, 0.000, 0.000], [0.000, 4.019, 0.000], [0.000, 0.000, 8.380]],
  "species": ["K", "B", "P", "P", "Cl"],
  "frac_coords": [[0.000, 0.000, 0.000], [0.500, 0.500, 0.500], [0.000, 0.500, 0.500], [0.500, 0.000, 0.500], [0.500, 0.500, 0.000]]
}

=====

{
  "formula": "KBP2Cl",
  "functional": "PBE",
  "state": "relaxed",
  "raw_formation_energy_ev_per_atom": 1.948,
  "volume_a3_per_fu": 242,
  "de_polymorph_mev_per_atom": 1850,
  "cell": [[6.509, 0.000, 0.000], [0.000, 6.509, 0.000], [0.000, 0.000, 5.711]],
  "species": ["K", "B", "P", "P", "Cl"],
  "frac_coords": [[0.000, 0.000, 0.000], [0.500, 0.500, 0.500], [0.000, 0.500, 0.000], [0.500, 0.000, 0.000], [0.000, 0.000, 0.500]]
}